(1)
10
Lattice="7.876 0.000 0.000 0.000 7.876 0.000 0.000 0.000 5.315" Properties=species:S:1:pos:R:3 comment="Na2Ca2Pb PBE optimized geometry" m_tot_mub_per_cell=0.0 vol_a3_per_cell=329.71 e_form_ev_per_atom=-0.058 relative_energy_mev_per_atom=5 spacegroup="P4/mbm (127)" pbc="T T T"
Na 1.012 2.926 0.000
Na 2.926 6.864 0.000
Na 4.950 1.012 0.000
Na 6.864 4.950 0.000
Ca 1.530 5.468 2.658
Ca 2.408 1.530 2.658
Ca 5.468 6.346 2.658
Ca 6.346 2.408 2.658
Pb 0.000 0.000 0.000
Pb 3.938 3.938 0.000

(2)
10
Lattice="3.762 0.000 0.000 0.000 3.762 0.000 0.000 0.000 22.465" Properties=species:S:1:pos:R:3 comment="NaCa5Pb4 PBE optimized geometry" m_tot_mub_per_cell=0.0 vol_a3_per_cell=317.93 e_form_ev_per_atom=-0.425 spacegroup="P4/mmm (123)" pbc="T T T"
Na 0.000 0.000 0.000
Ca 1.881 1.881 2.659
Ca 1.881 1.881 6.884
Ca 1.881 1.881 11.232
Ca 1.881 1.881 15.581
Ca 1.881 1.881 19.805
Pb 0.000 0.000 4.678
Pb 0.000 0.000 9.052
Pb 0.000 0.000 13.413
Pb 0.000 0.000 17.786